AgS2BrCl: relaxed, GGA-PBE.

* formation energy (no corrections): 0.704 eV per atom
* offset from the most stable computed form: 0.000 eV/f.u.

Geometry as POSCAR:
```
AgS2BrCl
1.0
-1.867 -2.759 3.781
4.344 -2.537 0.294
1.702 3.289 3.241
S Br Ag Cl
2 1 1 1
direct
0.000 0.500 0.000
0.500 0.000 0.000
0.500 0.500 0.500
0.000 0.000 0.000
0.000 0.000 0.500
```